Record 1
Here is BaRe after structural relaxation from the Alexandria database. Energies are from PBEsol.

The space group is P4/mmm (No. 123) and the conventional cell measures 2.900, 2.900 and 5.547 Å, with angles of 90.00, 90.00 and 90.00 degrees. The distinct sites, in fractional coordinates, are Ba at (0.000, 0.000, 0.000) and Re at (0.500, 0.500, 0.500).

Its crystal system is tetragonal.



Record 2
Here is BaRe3 after structural relaxation from the Alexandria database. Energies are from PBEsol.

The space group is R-3m (No. 166, hexagonal axes) and the conventional cell measures 9.3690, 9.3690 and 2.8218 Å, with angles of 90.00, 90.00 and 120.00 degrees. The distinct sites, in fractional coordinates, are Ba at (0.0000, 0.0000, 0.0000) and Re at (0.0000, 0.5000, 0.0000).

Its crystal system is trigonal.



Record 3
Here is BaRe after structural relaxation from the Alexandria database. Energies are from PBEsol.

The space group is R-3m (No. 166, hexagonal axes) and the conventional cell measures 5.5967, 5.5967 and 11.6283 Å, with angles of 90.00, 90.00 and 120.00 degrees. The distinct sites, in fractional coordinates, are Ba at (0.0000, 0.0000, 0.1391) and Re at (0.0000, 0.0000, 0.4042).

Its crystal system is trigonal.



Record 4
Here is BaRe after structural relaxation from the Alexandria database. Energies are from PBEsol.

The space group is Cm (No. 8) and the conventional cell measures 13.392, 3.835 and 7.760 Å, with angles of 90.00, 113.54 and 90.00 degrees. The distinct sites, in fractional coordinates, are Ba at (0.000, 0.000, 0.000), Ba at (0.009, 0.000, 0.544), Ba at (0.227, 0.500, 0.390), Re at (0.220, 0.500, 0.905), Re at (0.283, 0.000, 0.773) and Re at (0.313, 0.000, 0.106).

Its crystal system is monoclinic.



Record 5
Here is BaRe after structural relaxation from the Alexandria database. Energies are from PBEsol.

The space group is Pm-3m (No. 221) and the conventional cell measures 3.734, 3.734 and 3.734 Å, with angles of 90.00, 90.00 and 90.00 degrees. The distinct sites, in fractional coordinates, are Ba at (0.000, 0.000, 0.000) and Re at (0.500, 0.500, 0.500).

Its crystal system is cubic.



Record 6
Here is BaRe3 after structural relaxation from the Alexandria database. Energies are from PBEsol.

The space group is Pm-3m (No. 221) and the conventional cell measures 4.173, 4.173 and 4.173 Å, with angles of 90.00, 90.00 and 90.00 degrees. The distinct sites, in fractional coordinates, are Ba at (0.000, 0.000, 0.000) and Re at (0.000, 0.500, 0.500).

Its crystal system is cubic.



Summary of N(E_F) in states/eV per cell
1.89, 12.07, 17.10, 13.73, 1.95, 9.07
(order as listed above)
Summary of ΔE to the lowest computed polymorph in meV/atom
782, 0, 393, 0, 1153, 526
(order as listed above)
Summary of DFT formation energy in eV per atom
1.6358, 1.5849, 1.2467, 0.8540, 2.0067, 2.1113
(order as listed above)